This record from Alexandria via LeMat-Bulk describes a geometry-optimized KPmW2O8 structure. The functional is GGA+U.

a b c (Å): 6.453 6.453 6.453
angles (deg): 106.05 106.05 116.55
Fractional coordinates of all 12 atoms:
K (0.000, 0.000, 0.000)
Pm (0.750, 0.250, 0.500)
W (0.250, 0.750, 0.500)
W (0.500, 0.500, 0.000)
O (0.073, 0.398, 0.325)
O (0.073, 0.748, 0.675)
O (0.155, 0.348, 0.807)
O (0.252, 0.927, 0.325)
O (0.542, 0.348, 0.193)
O (0.602, 0.927, 0.675)
O (0.652, 0.458, 0.807)
O (0.652, 0.845, 0.193)

Calculated values
* V: 204 Å³/cell
* total DFT energy (no corrections): -87.59 eV for the cell shown